Material: NaEu3Ga
Method: DFT, PBE-GGA
State: optimized geometry

D(E_F): 5.227 states/eV per atom
total energy: -7.056 eV per atom
ΔH_f (0 K): -0.022 eV per atom

a = 6.0307 Å, b = 6.0307 Å, c = 6.0307 Å
α = 90.00°, β = 90.00°, γ = 90.00°
Each line ends with the local moment (μB).
Element x y z (fractional)
Eu: 0.0000 0.5000 0.0000  6.95
Eu: 0.0000 0.0000 0.5000  6.95
Eu: 0.5000 0.0000 0.0000  6.95
Na: 0.5000 0.5000 0.5000  0.00
Ga: 0.0000 0.0000 0.0000  0.08